Model a:
{"formula": "Li2BePt2", "functional": "PBE", "state": "optimized geometry", "lattice": [[5.892, 0.000, 0.000], [0.000, 5.892, 0.000], [0.000, 0.000, 4.137]], "species": ["Pt", "Pt", "Pt", "Pt", "Be", "Be", "Li", "Li", "Li", "Li"], "fractional_positions": [[0.155, 0.345, 0.000], [0.845, 0.655, 0.000], [0.345, 0.845, 0.000], [0.655, 0.155, 0.000], [0.000, 0.000, 0.000], [0.500, 0.500, 0.000], [0.161, 0.661, 0.500], [0.839, 0.339, 0.500], [0.339, 0.161, 0.500], [0.661, 0.839, 0.500]], "rho_g_cm3": 9.6, "total_magnetization_mub_per_atom": 0.00}


Model b:
{"formula": "Li2BePt2", "functional": "PBE", "state": "optimized geometry", "lattice": [[-0.965, 2.105, -6.102], [-3.034, -5.593, -1.450], [-2.511, 1.156, 0.796]], "species": ["Pt", "Pt", "Pt", "Pt", "Li", "Li", "Li", "Li", "Be", "Be"], "fractional_positions": [[0.308, 0.192, 0.500], [0.808, 0.308, 0.500], [0.192, 0.692, 0.500], [0.692, 0.808, 0.500], [0.889, 0.611, 0.000], [0.389, 0.889, 0.000], [0.611, 0.111, 0.000], [0.111, 0.389, 0.000], [0.000, 0.000, 0.000], [0.500, 0.500, 0.000]], "rho_g_cm3": 11.2, "total_magnetization_mub_per_atom": 0.00}


It turns out model a is the most stable, with the second structure 0.316 eV/atom higher.


Model a:
{"formula": "RbLiBe2", "functional": "PBE", "state": "optimized geometry", "lattice": [[0.000, 3.707, 3.707], [3.707, 0.000, 3.707], [3.707, 3.707, 0.000]], "species": ["Be", "Be", "Rb", "Li"], "fractional_positions": [[0.250, 0.250, 0.250], [0.750, 0.750, 0.750], [0.500, 0.500, 0.500], [0.000, 0.000, 0.000]], "rho_g_cm3": 1.8, "total_magnetization_mub_per_atom": 0.00}


Model b:
{"formula": "RbLiBe2", "functional": "PBE", "state": "optimized geometry", "lattice": [[4.571, 0.000, 0.000], [0.000, 4.571, 0.000], [2.286, 2.286, 9.519]], "species": ["Li", "Li", "Rb", "Rb", "Be", "Be", "Be", "Be"], "fractional_positions": [[0.250, 0.750, 0.500], [0.500, 0.500, 0.000], [0.750, 0.250, 0.500], [0.000, 0.000, 0.000], [0.375, 0.625, 0.250], [0.375, 0.625, 0.750], [0.875, 0.625, 0.750], [0.375, 0.125, 0.250]], "rho_g_cm3": 1.8, "total_magnetization_mub_per_atom": 0.00}


It turns out model b is the most stable, with the second structure 0.429 eV/atom higher.


Model a:
{"formula": "LiBeRe3", "functional": "PBE", "state": "optimized geometry", "lattice": [[4.092, 0.000, 0.000], [0.000, 4.092, 0.000], [0.000, 0.000, 4.092]], "species": ["Re", "Re", "Re", "Be", "Li"], "fractional_positions": [[0.500, 0.000, 0.000], [0.000, 0.000, 0.500], [0.000, 0.500, 0.000], [0.500, 0.500, 0.500], [0.000, 0.000, 0.000]], "rho_g_cm3": 13.9, "total_magnetization_mub_per_atom": 0.00}


Model b:
{"formula": "LiBeRe3", "functional": "PBE", "state": "optimized geometry", "lattice": [[4.152, 0.000, 0.000], [0.000, 4.152, 0.000], [0.000, 0.000, 4.152]], "species": ["Re", "Re", "Re", "Be", "Li"], "fractional_positions": [[0.000, 0.500, 0.000], [0.500, 0.000, 0.000], [0.000, 0.000, 0.500], [0.000, 0.000, 0.000], [0.500, 0.500, 0.500]], "rho_g_cm3": 13.3, "total_magnetization_mub_per_atom": 0.00}


It turns out model b is the most stable, with the second structure 0.617 eV/atom higher.


Model a:
{"formula": "LiBe3Re", "functional": "PBE", "state": "optimized geometry", "lattice": [[-0.825, -0.140, 3.571], [0.701, -3.600, 0.021], [3.504, 0.687, 0.836]], "species": ["Be", "Be", "Be", "Li", "Re"], "fractional_positions": [[0.000, 0.000, 0.500], [0.500, 0.000, 0.000], [0.000, 0.500, 0.000], [0.000, 0.000, 0.000], [0.500, 0.500, 0.500]], "rho_g_cm3": 7.4, "total_magnetization_mub_per_atom": 0.14}


Model b:
{"formula": "LiBe3Re", "functional": "PBE", "state": "optimized geometry", "lattice": [[4.334, 0.000, 0.000], [0.000, 4.334, 0.000], [0.000, 0.000, 4.334]], "species": ["Be", "Be", "Be", "Re", "Li"], "fractional_positions": [[0.000, 0.500, 0.000], [0.000, 0.000, 0.500], [0.500, 0.000, 0.000], [0.000, 0.000, 0.000], [0.500, 0.500, 0.500]], "rho_g_cm3": 4.5, "total_magnetization_mub_per_atom": 0.00}


It turns out model a is the most stable, with the second structure 0.064 eV/atom higher.


Model a:
{"formula": "LiBeRu", "functional": "PBE", "state": "optimized geometry", "lattice": [[-1.538, -4.980, 2.662], [0.477, -1.334, -2.221], [9.459, 1.431, 1.172]], "species": ["Ru", "Ru", "Ru", "Ru", "Li", "Li", "Li", "Li", "Be", "Be", "Be", "Be"], "fractional_positions": [[0.321, 0.000, 0.712], [0.321, 0.500, 0.212], [0.922, 0.500, 0.563], [0.922, 0.000, 0.063], [0.197, 0.000, 0.424], [0.834, 0.500, 0.277], [0.197, 0.500, 0.924], [0.834, 0.000, 0.777], [0.605, 0.500, 0.900], [0.549, 0.500, 0.599], [0.605, 0.000, 0.400], [0.549, 0.000, 0.099]], "rho_g_cm3": 5.5, "total_magnetization_mub_per_atom": 0.00}


Model b:
{"formula": "LiBeRu", "functional": "PBE", "state": "optimized geometry", "lattice": [[-0.025, -0.371, 5.412], [-2.714, -0.207, -0.027], [0.736, -9.148, -3.725]], "species": ["Ru", "Ru", "Ru", "Ru", "Li", "Li", "Li", "Li", "Be", "Be", "Be", "Be"], "fractional_positions": [[0.336, 0.500, 0.645], [0.664, 0.000, 0.855], [0.336, 0.000, 0.145], [0.664, 0.500, 0.355], [0.834, 0.500, 0.660], [0.834, 0.000, 0.160], [0.166, 0.500, 0.340], [0.166, 0.000, 0.840], [0.000, 0.500, 0.000], [0.500, 0.000, 0.500], [0.500, 0.500, 0.000], [0.000, 0.000, 0.500]], "rho_g_cm3": 5.6, "total_magnetization_mub_per_atom": 0.00}


It turns out model b is the most stable, with the second structure 0.055 eV/atom higher.


Model a:
{"formula": "LiBeRu", "functional": "PBE", "state": "optimized geometry", "lattice": [[-0.971, -2.460, -0.096], [2.437, 0.497, -0.905], [2.359, -1.154, 5.721]], "species": ["Be", "Ru", "Li"], "fractional_positions": [[0.000, 0.000, 0.976], [0.333, 0.667, 0.690], [0.667, 0.333, 0.334]], "rho_g_cm3": 5.1, "total_magnetization_mub_per_atom": 0.00}


Model b:
{"formula": "LiBeRu", "functional": "PBE", "state": "optimized geometry", "lattice": [[-2.828, 2.422, 0.352], [-3.530, -1.235, 0.006], [-2.006, 0.086, 3.155]], "species": ["Be", "Ru", "Li"], "fractional_positions": [[0.750, 0.750, 0.750], [0.500, 0.500, 0.500], [0.000, 0.000, 0.000]], "rho_g_cm3": 5.3, "total_magnetization_mub_per_atom": 0.31}


Model c:
{"formula": "LiBeRu", "functional": "PBE", "state": "optimized geometry", "lattice": [[3.858, 0.000, 0.000], [1.929, 3.341, 0.000], [1.929, 1.114, 3.150]], "species": ["Ru", "Be", "Li"], "fractional_positions": [[0.750, 0.750, 0.750], [0.000, 0.000, 0.000], [0.500, 0.500, 0.500]], "rho_g_cm3": 4.8, "total_magnetization_mub_per_atom": 0.29}


Model d:
{"formula": "LiBeRu", "functional": "PBE", "state": "optimized geometry", "lattice": [[3.176, 0.000, 0.166], [0.000, 3.180, 0.000], [-0.345, 0.000, 6.623]], "species": ["Ru", "Ru", "Be", "Be", "Li", "Li"], "fractional_positions": [[0.750, 0.750, 0.648], [0.250, 0.250, 0.352], [0.250, 0.250, 0.706], [0.750, 0.750, 0.294], [0.750, 0.250, 0.000], [0.250, 0.750, 0.000]], "rho_g_cm3": 5.8, "total_magnetization_mub_per_atom": 0.00}


It turns out model d is the most stable, with the second structure 0.127 eV/atom higher.


Model a:
{"formula": "LiBeRu", "functional": "PBE", "state": "optimized geometry", "lattice": [[5.795, 0.000, 0.007], [0.000, 2.899, 0.000], [-2.649, 0.000, 8.845]], "species": ["Be", "Be", "Be", "Be", "Ru", "Ru", "Ru", "Ru", "Li", "Li", "Li", "Li"], "fractional_positions": [[0.314, 0.000, 0.013], [0.314, 0.500, 0.513], [0.686, 0.500, 0.487], [0.686, 0.000, 0.987], [0.418, 0.500, 0.839], [0.582, 0.500, 0.161], [0.418, 0.000, 0.339], [0.582, 0.000, 0.661], [0.934, 0.000, 0.348], [0.934, 0.500, 0.848], [0.066, 0.500, 0.152], [0.066, 0.000, 0.652]], "rho_g_cm3": 5.2, "total_magnetization_mub_per_atom": 0.00}


Model b:
{"formula": "LiBeRu", "functional": "PBE", "state": "optimized geometry", "lattice": [[4.274, -0.004, -0.004], [-2.002, 3.937, 0.006], [-1.510, -1.505, 4.175]], "species": ["Li", "Li", "Ru", "Ru", "Be", "Be"], "fractional_positions": [[0.928, 0.584, 0.366], [0.258, 0.244, 0.381], [0.011, 0.417, 0.858], [0.687, 0.788, 0.860], [0.352, 0.094, 0.879], [0.583, 0.899, 0.344]], "rho_g_cm3": 5.5, "total_magnetization_mub_per_atom": 0.00}


It turns out model a is the most stable, with the second structure 0.036 eV/atom higher.


Model a:
{"formula": "LiBeRu", "functional": "PBE", "state": "optimized geometry", "lattice": [[4.914, -0.034, 0.000], [3.288, 3.652, 0.000], [-4.101, -1.809, 2.015]], "species": ["Ru", "Be", "Li"], "fractional_positions": [[0.640, 0.640, 0.000], [0.021, 0.021, 0.000], [0.339, 0.339, 0.000]], "rho_g_cm3": 5.3, "total_magnetization_mub_per_atom": 0.00}


Model b:
{"formula": "LiBeRu", "functional": "PBE", "state": "optimized geometry", "lattice": [[-2.590, -2.965, 0.876], [0.432, -1.153, -2.626], [8.700, -6.351, 4.221]], "species": ["Be", "Be", "Be", "Be", "Ru", "Ru", "Ru", "Ru", "Li", "Li", "Li", "Li"], "fractional_positions": [[0.000, 0.500, 0.371], [0.500, 0.500, 0.196], [0.000, 0.000, 0.871], [0.500, 0.000, 0.696], [0.000, 0.500, 0.715], [0.000, 0.000, 0.526], [0.000, 0.000, 0.215], [0.000, 0.500, 0.026], [0.500, 0.000, 0.040], [0.500, 0.000, 0.367], [0.500, 0.500, 0.867], [0.500, 0.500, 0.540]], "rho_g_cm3": 5.7, "total_magnetization_mub_per_atom": 0.00}


It turns out model b is the most stable, with the second structure 0.093 eV/atom higher.